## 1
Below is a geometry-optimized La3CeTe6 structure, with properties calculated at the GGA-PBE level.

As for the density: 5.37 g/cm3. As for the spin magnetization: 1.5 μB/f.u.

The structure belongs to space group C2/m (No. 12); the cell edges are 14.347, 8.589 and 7.926 Å and the angles 90.00°, 123.16° and 90.00°. The inequivalent atoms are La at (0.000, 0.000, 0.000), La at (0.250, 0.000, 0.687), Ce at (0.000, 0.500, 0.500), Te at (0.091, 0.250, 0.343) and Te at (0.248, 0.500, 0.913).


## 2
Below is a geometry-optimized La3CeTe6 structure, with properties calculated at the GGA-PBE level.

As for the density: 5.85 g/cm3. As for the spin magnetization: 1.1 μB/f.u.

The structure belongs to space group P2_1/c (No. 14); the cell edges are 7.570, 8.519 and 13.789 Å and the angles 90.00°, 122.39° and 90.00°. The inequivalent atoms are La at (0.000, 0.000, 0.000), La at (0.304, 0.115, 0.753), Ce at (0.500, 0.000, 0.500), Te at (0.088, 0.059, 0.253), Te at (0.249, 0.678, 0.085) and Te at (0.421, 0.179, 0.081).


How do the energies compare? Relative to the most stable structure, in meV per atom: 1 107; 2 0.


## 1
Below is a geometry-optimized La2CeTe4 structure, with properties calculated at the GGA-PBE level.

As for the density: 6.87 g/cm3. As for the spin magnetization: 1.8 μB/f.u.

The structure belongs to space group I-42d (No. 122); the cell edges are 9.648, 9.648 and 9.642 Å and the angles 90.00°, 90.00° and 90.00°. The inequivalent atoms are La at (0.124, 0.250, 0.125), Ce at (0.000, 0.000, 0.500) and Te at (0.076, 0.175, 0.798).


## 2
Below is a geometry-optimized La2CeTe4 structure, with properties calculated at the GGA-PBE level.

As for the density: 5.96 g/cm3. As for the spin magnetization: 1.3 μB/f.u.

The structure belongs to space group Cmcm (No. 63); the cell edges are 4.437, 15.159 and 15.376 Å and the angles 90.00°, 90.00° and 90.00°. The inequivalent atoms are La at (0.000, 0.132, 0.069), Ce at (0.000, 0.376, 0.250), Te at (0.000, 0.029, 0.250), Te at (0.000, 0.222, 0.625) and Te at (0.000, 0.500, 0.000).


How do the energies compare? Relative to the most stable structure, in meV per atom: 1 0; 2 57.


## 1
Below is a geometry-optimized LaCe2Te4 structure, with properties calculated at the GGA-PBE level.

As for the density: 7.00 g/cm3. As for the spin magnetization: 3.0 μB/f.u.

The structure belongs to space group I-42d (No. 122); the cell edges are 9.588, 9.588 and 9.600 Å and the angles 90.00°, 90.00° and 90.00°. The inequivalent atoms are La at (0.000, 0.000, 0.000), Ce at (0.126, 0.250, 0.625) and Te at (0.077, 0.173, 0.300).


## 2
Below is a geometry-optimized LaCe2Te4 structure, with properties calculated at the GGA-PBE level.

As for the density: 6.15 g/cm3. As for the spin magnetization: 2.5 μB/f.u.

The structure belongs to space group Cmcm (No. 63); the cell edges are 4.413, 14.843 and 15.336 Å and the angles 90.00°, 90.00° and 90.00°. The inequivalent atoms are La at (0.000, 0.119, 0.250), Ce at (0.000, 0.365, 0.066), Te at (0.000, 0.000, 0.000), Te at (0.000, 0.277, 0.626) and Te at (0.000, 0.460, 0.250).


How do the energies compare? Relative to the most stable structure, in meV per atom: 1 0; 2 55.


## 1
Below is a geometry-optimized La2CeTh structure, with properties calculated at the GGA-PBE level.

As for the density: 8.23 g/cm3. As for the spin magnetization: 0.0 μB/f.u.

The structure belongs to space group P4mm (No. 99); the cell edges are 3.570, 3.570 and 10.290 Å and the angles 90.00°, 90.00° and 90.00°. The inequivalent atoms are La at (0.000, 0.000, 0.000), La at (0.500, 0.500, 0.289), Ce at (0.500, 0.500, 0.760) and Th at (0.000, 0.000, 0.535).


## 2
Below is a geometry-optimized La2CeTh structure, with properties calculated at the GGA-PBE level.

As for the density: 8.22 g/cm3. As for the spin magnetization: 0.0 μB/f.u.

The structure belongs to space group R3m (No. 160, hexagonal axes); the cell edges are 3.5837, 3.5837 and 35.4325 Å and the angles 90.00°, 90.00° and 120.00°. The inequivalent atoms are La at (0.0000, 0.0000, 0.0000), La at (0.0000, 0.0000, 0.1726), Ce at (0.0000, 0.0000, 0.5870) and Th at (0.0000, 0.0000, 0.4193).


## 3
Below is a geometry-optimized La2CeTh structure, with properties calculated at the GGA-PBE level.

As for the density: 7.98 g/cm3. As for the spin magnetization: 1.2 μB/f.u.

The structure belongs to space group Fm-3m (No. 225); the cell edges are 8.150, 8.150 and 8.150 Å and the angles 90.00°, 90.00° and 90.00°. The inequivalent atoms are La at (0.250, 0.250, 0.250), Ce at (0.000, 0.000, 0.000) and Th at (0.000, 0.000, 0.500).


## 4
Below is a geometry-optimized La2CeTh structure, with properties calculated at the GGA-PBE level.

As for the density: 8.36 g/cm3. As for the spin magnetization: 0.4 μB/f.u.

The structure belongs to space group P4/mmm (No. 123); the cell edges are 5.032, 5.032 and 5.097 Å and the angles 90.00°, 90.00° and 90.00°. The inequivalent atoms are La at (0.000, 0.500, 0.000), Ce at (0.000, 0.000, 0.500) and Th at (0.500, 0.500, 0.500).


How do the energies compare? Relative to the most stable structure, in meV per atom: 1 0; 2 62; 3 229; 4 51.


## 1
Below is a geometry-optimized LaCeTh2 structure, with properties calculated at the GGA-PBE level.

As for the density: 9.86 g/cm3. As for the spin magnetization: 0.0 μB/f.u.

The structure belongs to space group P4/mmm (No. 123); the cell edges are 4.994, 4.994 and 5.017 Å and the angles 90.00°, 90.00° and 90.00°. The inequivalent atoms are La at (0.000, 0.000, 0.000), Ce at (0.500, 0.500, 0.000) and Th at (0.000, 0.500, 0.500).


## 2
Below is a geometry-optimized LaCeTh2 structure, with properties calculated at the GGA-PBE level.

As for the density: 9.68 g/cm3. As for the spin magnetization: 0.0 μB/f.u.

The structure belongs to space group Fm-3m (No. 225); the cell edges are 7.990, 7.990 and 7.990 Å and the angles 90.00°, 90.00° and 90.00°. The inequivalent atoms are La at (0.000, 0.000, 0.000), Ce at (0.000, 0.000, 0.500) and Th at (0.250, 0.250, 0.250).


## 3
Below is a geometry-optimized LaCeTh2 structure, with properties calculated at the GGA-PBE level.

As for the density: 9.66 g/cm3. As for the spin magnetization: 0.2 μB/f.u.

The structure belongs to space group Cmmm (No. 65); the cell edges are 3.511, 6.024 and 12.081 Å and the angles 90.00°, 90.00° and 90.00°. The inequivalent atoms are La at (0.000, 0.000, 0.000), Ce at (0.000, 0.000, 0.500) and Th at (0.000, 0.500, 0.262).


## 4
Below is a geometry-optimized LaCeTh2 structure, with properties calculated at the GGA-PBE level.

As for the density: 9.47 g/cm3. As for the spin magnetization: 0.0 μB/f.u.

The structure belongs to space group R-3m (No. 166, hexagonal axes); the cell edges are 3.4976, 3.4976 and 36.8935 Å and the angles 90.00°, 90.00° and 120.00°. The inequivalent atoms are La at (0.0000, 0.0000, 0.0000), Ce at (0.0000, 0.0000, 0.5000) and Th at (0.0000, 0.0000, 0.0896).


How do the energies compare? Relative to the most stable structure, in meV per atom: 1 0; 2 168; 3 76; 4 140.


## 1
Below is a geometry-optimized LaCe2Ti structure, with properties calculated at the GGA-PBE level.

As for the density: 7.50 g/cm3. As for the spin magnetization: 0.0 μB/f.u.

The structure belongs to space group R-3m (No. 166, hexagonal axes); the cell edges are 3.2159, 3.2159 and 34.6124 Å and the angles 90.00°, 90.00° and 120.00°. The inequivalent atoms are La at (0.0000, 0.0000, 0.0000), Ce at (0.0000, 0.0000, 0.0923) and Ti at (0.0000, 0.0000, 0.5000).


## 2
Below is a geometry-optimized LaCe2Ti structure, with properties calculated at the GGA-PBE level.

As for the density: 7.42 g/cm3. As for the spin magnetization: 0.0 μB/f.u.

The structure belongs to space group P4/mmm (No. 123); the cell edges are 3.216, 3.216 and 10.100 Å and the angles 90.00°, 90.00° and 90.00°. The inequivalent atoms are La at (0.000, 0.000, 0.000), Ce at (0.500, 0.500, 0.278) and Ti at (0.000, 0.000, 0.500).


How do the energies compare? Relative to the most stable structure, in meV per atom: 1 77; 2 0.


## 1
Below is a geometry-optimized LaCeTl4 structure, with properties calculated at the GGA-PBE level.

As for the density: 10.11 g/cm3. As for the spin magnetization: 0.9 μB/f.u.

The structure belongs to space group C2/m (No. 12); the cell edges are 8.820, 5.086 and 8.033 Å and the angles 90.00°, 90.09° and 90.00°. The inequivalent atoms are La at (0.000, 0.000, 0.000), Ce at (0.000, 0.000, 0.500), Tl at (0.167, 0.500, 0.319) and Tl at (0.167, 0.500, 0.806).


## 2
Below is a geometry-optimized LaCeTl4 structure, with properties calculated at the GGA-PBE level.

As for the density: 10.29 g/cm3. As for the spin magnetization: 1.7 μB/f.u.

The structure belongs to space group F-43m (No. 216); the cell edges are 8.911, 8.911 and 8.911 Å and the angles 90.00°, 90.00° and 90.00°. The inequivalent atoms are La at (0.000, 0.000, 0.000), Ce at (0.250, 0.250, 0.250) and Tl at (0.125, 0.125, 0.625).


How do the energies compare? Relative to the most stable structure, in meV per atom: 1 0; 2 121.


## 1
Below is a geometry-optimized La2CeTl3 structure, with properties calculated at the GGA-PBE level.

As for the density: 9.18 g/cm3. As for the spin magnetization: 1.1 μB/f.u.

The structure belongs to space group P4/mmm (No. 123); the cell edges are 3.947, 3.947 and 11.965 Å and the angles 90.00°, 90.00° and 90.00°. The inequivalent atoms are La at (0.000, 0.000, 0.169), Ce at (0.000, 0.000, 0.500), Tl at (0.500, 0.500, 0.000) and Tl at (0.500, 0.500, 0.339).


## 2
Below is a geometry-optimized La2CeTl3 structure, with properties calculated at the GGA-PBE level.

As for the density: 8.76 g/cm3. As for the spin magnetization: 1.4 μB/f.u.

The structure belongs to space group Cmcm (No. 63); the cell edges are 3.772, 30.643 and 6.763 Å and the angles 90.00°, 90.00° and 90.00°. The inequivalent atoms are La at (0.000, 0.005, 0.250), La at (0.000, 0.153, 0.750), Ce at (0.000, 0.331, 0.750), Tl at (0.000, 0.256, 0.250) and Tl at (0.000, 0.423, 0.007).


How do the energies compare? Relative to the most stable structure, in meV per atom: 1 0; 2 158.


## 1
Below is a geometry-optimized LaCeTl2 structure, with properties calculated at the GGA-PBE level.

As for the density: 9.57 g/cm3. As for the spin magnetization: 1.4 μB/f.u.

The structure belongs to space group P4/mmm (No. 123); the cell edges are 3.585, 3.585 and 9.283 Å and the angles 90.00°, 90.00° and 90.00°. The inequivalent atoms are La at (0.000, 0.000, 0.000), Ce at (0.000, 0.000, 0.500) and Tl at (0.500, 0.500, 0.255).


## 2
Below is a geometry-optimized LaCeTl2 structure, with properties calculated at the GGA-PBE level.

As for the density: 9.27 g/cm3. As for the spin magnetization: 1.2 μB/f.u.

The structure belongs to space group Fm-3m (No. 225); the cell edges are 7.897, 7.897 and 7.897 Å and the angles 90.00°, 90.00° and 90.00°. The inequivalent atoms are La at (0.000, 0.000, 0.000), Ce at (0.000, 0.000, 0.500) and Tl at (0.250, 0.250, 0.250).


How do the energies compare? Relative to the most stable structure, in meV per atom: 1 0; 2 21.


## 1
Below is a geometry-optimized La3CeTl2 structure, with properties calculated at the GGA-PBE level.

As for the density: 8.04 g/cm3. As for the spin magnetization: 1.3 μB/f.u.

The structure belongs to space group C2/c (No. 15); the cell edges are 16.440, 6.729 and 7.403 Å and the angles 90.00°, 102.98° and 90.00°. The inequivalent atoms are La at (0.000, 0.218, 0.250), La at (0.193, 0.001, 0.597), Ce at (0.000, 0.222, 0.750) and Tl at (0.133, 0.499, 0.066).


## 2
Below is a geometry-optimized La3CeTl2 structure, with properties calculated at the GGA-PBE level.

As for the density: 8.66 g/cm3. As for the spin magnetization: 1.1 μB/f.u.

The structure belongs to space group Pnma (No. 62); the cell edges are 9.174, 3.680 and 21.936 Å and the angles 90.00°, 90.00° and 90.00°. The inequivalent atoms are La at (0.020, 0.250, 0.165), La at (0.114, 0.750, 0.695), La at (0.141, 0.250, 0.959), Ce at (0.063, 0.250, 0.431), Tl at (0.203, 0.750, 0.306) and Tl at (0.243, 0.250, 0.576).


How do the energies compare? Relative to the most stable structure, in meV per atom: 1 33; 2 0.